(1)
VASP calculation (GGA-PBE) on ErMg3Cd3 after structural relaxation.

a = 8.5799 Å, b = 8.5799 Å, c = 5.0555 Å
α = 90.00°, β = 90.00°, γ = 120.00°
Space group P6_3/m (No. 176)
Symmetry-distinct sites (fractional):
Er: 0.3333 0.6667 0.2500 (multiplicity 2)
Mg: 0.0098 0.7804 0.2500 (multiplicity 6)
Cd: 0.0873 0.6142 0.7500 (multiplicity 6)

Values from the calculation:
ΔE_f (eV per atom): -0.141
Magnetic moment (μB per formula unit): 0.000
E_tot (eV/f.u.): -13.1

(2)
VASP calculation (GGA-PBE) on ErMg6Cd2 after structural relaxation.

a = 4.378 Å, b = 4.378 Å, c = 11.094 Å
α = 90.00°, β = 90.00°, γ = 90.00°
Space group P4/mmm (No. 123)
Symmetry-distinct sites (fractional):
Er: 0.000 0.000 0.000 (multiplicity 1)
Mg: 0.000 0.000 0.500 (multiplicity 1)
Mg: 0.000 0.500 0.289 (multiplicity 4)
Mg: 0.500 0.500 0.500 (multiplicity 1)
Cd: 0.500 0.500 0.123 (multiplicity 2)

Values from the calculation:
ΔE_f (eV per atom): -0.062
Magnetic moment (μB per formula unit): 0.000
E_tot (eV/f.u.): -16.5